This record from Alexandria via LeMat-Bulk describes a geometry-optimized Ho3AlPt3 structure. The functional is GGA-PBE.

Computed properties:
E_form: -1188 meV/atom
Magnetic moment: 0.000 μB/atom
Space group: Cmcm

Geometry as POSCAR:
```
Ho3AlPt3
1.0
2.0160 -5.2418 0.0000
2.0160 5.2418 0.0000
0.0000 0.0000 14.1400
Ho Al Pt
6 2 6
Cartesian
2.0160 5.0370 10.6050
2.0160 2.1626 8.5875
2.0160 2.1626 12.6225
2.0160 -2.1626 1.5175
2.0160 -2.1626 5.5525
2.0160 -5.0370 3.5350
0.0000 0.0000 0.0000
0.0000 0.0000 7.0700
2.0160 2.5891 3.5350
2.0160 0.8315 1.2658
2.0160 0.8315 5.8042
2.0160 -0.8315 8.3358
2.0160 -0.8315 12.8742
2.0160 -2.5891 10.6050
```